An optimized crystal structure of K2ZrMo, computed with PBE.

The space group is P4/mmm (No. 123) and the conventional cell measures 4.119, 4.119 and 6.537 Å, with angles of 90.00, 90.00 and 90.00 degrees. The inequivalent atoms are K at (0.000, 0.500, 0.000), Zr at (0.000, 0.000, 0.500) and Mo at (0.500, 0.500, 0.500).

Its formation energy is 1.281 eV per atom.



An optimized crystal structure of La2Ag, computed with PBE.

The space group is I4/mmm (No. 139) and the conventional cell measures 3.831, 3.831 and 12.718 Å, with angles of 90.00, 90.00 and 90.00 degrees. The inequivalent atoms are La at (0.000, 0.000, 0.148) and Ag at (0.000, 0.000, 0.500).

Its formation energy is -0.151 eV per atom.



An optimized crystal structure of RbGaO2F, computed with PBE.

The space group is P4/mmm (No. 123) and the conventional cell measures 4.451, 4.451 and 5.179 Å, with angles of 90.00, 90.00 and 90.00 degrees. The inequivalent atoms are Rb at (0.000, 0.000, 0.000), Ga at (0.500, 0.500, 0.500), O at (0.000, 0.500, 0.000) and F at (0.000, 0.000, 0.500).

As for the formation energy from raw total energies: 139 meV/atom.